Material: RbErCuF6
Method: DFT, PBE
State: optimized geometry

It has space group Imma (No. 74), with a = 7.5346 Å, b = 8.0640 Å, c = 11.0191 Å, α = 90.00°, β = 90.00° and γ = 90.00°. Symmetry generates all atoms from Rb at (0.0000, 0.2500, 0.0490), Er at (0.0000, 0.0000, 0.5000), Cu at (0.2500, 0.2500, 0.7500), F at (0.0000, 0.2500, 0.4230), F at (0.0000, 0.2500, 0.7904) and F at (0.2180, 0.0689, 0.6161).

The density of states at the Fermi level comes out at 0.45 states/eV per atom. The calculation puts the magnetic moment at 1.0 μB per formula unit. The raw formation energy comes out at -284.48 kJ per mole of atoms.

---

Material: Pr2Zn2Si3
Method: DFT, PBE
State: optimized geometry

It has space group Cmcm (No. 63), with a = 4.2863 Å, b = 18.8534 Å, c = 6.9460 Å, α = 90.00°, β = 90.00° and γ = 90.00°. Symmetry generates all atoms from Pr at (0.0000, 0.0488, 0.2500), Pr at (0.0000, 0.1600, 0.7500), Zn at (0.0000, 0.3236, 0.5673), Si at (0.0000, 0.2156, 0.2500) and Si at (0.0000, 0.4430, 0.0794).

The density of states at the Fermi level comes out at 0.20 states/eV per atom. The calculation puts the magnetic moment at 0.0 μB per formula unit. The raw formation energy comes out at -48.93 kJ per mole of atoms.

---

Material: Zr2TaRu
Method: DFT, PBE
State: optimized geometry

It has space group F-43m (No. 216), with a = 6.6636 Å, b = 6.6636 Å, c = 6.6636 Å, α = 90.00°, β = 90.00° and γ = 90.00°. Symmetry generates all atoms from Zr at (0.0000, 0.0000, 0.0000), Zr at (0.2500, 0.2500, 0.2500), Ta at (0.2500, 0.2500, 0.7500) and Ru at (0.0000, 0.0000, 0.5000).

The density of states at the Fermi level comes out at 1.27 states/eV per atom. For the formation energy, the calculation gives -102 meV/atom. The calculation puts the magnetic moment at 0.0 μB per formula unit. As for the energy above the most stable polymorph in this dataset: 144 meV/atom.

---

Material: SrLa4Cl
Method: DFT, PBE
State: optimized geometry

It has space group F-43m (No. 216), with a = 9.8501 Å, b = 9.8501 Å, c = 9.8501 Å, α = 90.00°, β = 90.00° and γ = 90.00°. Symmetry generates all atoms from Sr at (0.0000, 0.0000, 0.0000), La at (0.1320, 0.1320, 0.3680) and Cl at (0.2500, 0.2500, 0.7500).

The density of states at the Fermi level comes out at 1.69 states/eV per atom. The calculation puts the magnetic moment at 2.0 μB per formula unit. The raw formation energy comes out at 15.37 kJ per mole of atoms.

---

Material: InSiPb2
Method: DFT, PBE
State: optimized geometry

It has space group Pmmm (No. 47), with a = 4.5224 Å, b = 4.7353 Å, c = 5.0149 Å, α = 90.00°, β = 90.00° and γ = 90.00°. Symmetry generates all atoms from In at (0.0000, 0.0000, 0.0000), Si at (0.0000, 0.5000, 0.5000), Pb at (0.5000, 0.0000, 0.5000) and Pb at (0.5000, 0.5000, 0.0000).

The density of states at the Fermi level comes out at 0.71 states/eV per atom. The calculation puts the magnetic moment at 0.0 μB per formula unit. The raw formation energy comes out at 31.97 kJ per mole of atoms.

---

Material: MnAgN2Cl
Method: DFT, PBE
State: optimized geometry

It has space group P4/mmm (No. 123), with a = 3.6259 Å, b = 3.6259 Å, c = 6.5786 Å, α = 90.00°, β = 90.00° and γ = 90.00°. Symmetry generates all atoms from Mn at (0.0000, 0.0000, 0.0000), Ag at (0.5000, 0.5000, 0.5000), N at (0.0000, 0.5000, 0.0000) and Cl at (0.0000, 0.0000, 0.5000).

The density of states at the Fermi level comes out at 0.54 states/eV per atom. The calculation puts the magnetic moment at 0.9 μB per formula unit. The raw formation energy comes out at 50.17 kJ per mole of atoms.

---

Question: Which formula does entry 1 have?
Answer: RbErCuF6

---

Question: What is the formula in the fourth record?
Answer: SrLa4Cl

---

Question: What is the magnetic moment in the fourth record?
Answer: 2.0 μB per formula unit